LiV2F8 after structural relaxation, computed with PBE+U.

It has space group C2/m (No. 12), with a = 9.594 Å, b = 6.181 Å, c = 4.879 Å, α = 90.00°, β = 99.20° and γ = 90.00°. The asymmetric unit holds Li at (0.000, 0.000, 0.000), V at (0.237, 0.500, 0.487), F at (0.114, 0.500, 0.730), F at (0.139, 0.000, 0.770) and F at (0.147, 0.230, 0.302).

Its calculated volume is 286 Å³/cell. As for the total energy: -5.598 eV/atom. The value obtained for the density is 3.03 Mg/m³.